Record 1
# TbLuMgRu | Alexandria via LeMat-Bulk | PBE-GGA | optimized geometry
# Calculated formation energy, eV/f.u.: -0.86
# M_tot, μB per cell: 0.00
data_TbLuMgRu
_cell_length_a 7.046
_cell_length_b 7.046
_cell_length_c 7.046
_cell_angle_alpha 90.00
_cell_angle_beta 90.00
_cell_angle_gamma 90.00
_symmetry_space_group_name_H-M 'F -4 3 m'
_symmetry_Int_Tables_number 216
_symmetry_space_group_name_Hall 'F -4 2 3'
loop_
_atom_site_label
_atom_site_type_symbol
_atom_site_fract_x
_atom_site_fract_y
_atom_site_fract_z
_atom_site_occupancy
Tb1 Tb 0.000 0.000 0.000 1
Lu1 Lu 0.000 0.000 0.500 1
Mg1 Mg 0.250 0.250 0.750 1
Ru1 Ru 0.250 0.250 0.250 1



Record 2
# Sm3Dy4Tm | Alexandria via LeMat-Bulk | PBE-GGA | optimized geometry
# Relative energy among the computed polymorphs, eV per formula unit: 0.000
# Calculated formation energy, eV/f.u.: 0.13
# M_tot, μB per cell: 0.00
data_Sm3Dy4Tm
_cell_length_a 11.355
_cell_length_b 7.289
_cell_length_c 6.295
_cell_angle_alpha 90.00
_cell_angle_beta 90.00
_cell_angle_gamma 90.00
_symmetry_space_group_name_H-M 'P m n 21'
_symmetry_Int_Tables_number 31
loop_
_symmetry_equiv_pos_as_xyz
'x,y,z'
'-x+1/2,-y,z+1/2'
'-x,y,z'
'x+1/2,-y,z+1/2'
loop_
_atom_site_label
_atom_site_type_symbol
_atom_site_fract_x
_atom_site_fract_y
_atom_site_fract_z
_atom_site_occupancy
Sm1 Sm 0.000 0.126 0.000 1
Sm2 Sm 0.250 0.125 0.333 1
Dy1 Dy 0.000 0.376 0.502 1
Dy2 Dy 0.000 0.623 0.000 1
Dy3 Dy 0.248 0.624 0.334 1
Tm1 Tm 0.000 0.872 0.499 1



Record 3
# SnPt3Cl | Alexandria via LeMat-Bulk | PBE-GGA | optimized geometry
# Relative energy among the computed polymorphs, eV per formula unit: 1.316
# Formation energy (no corrections), meV/atom: 1014
# M_tot, μB per cell: 0.00
data_SnPt3Cl
_cell_length_a 5.015
_cell_length_b 5.015
_cell_length_c 5.015
_cell_angle_alpha 90.00
_cell_angle_beta 90.00
_cell_angle_gamma 90.00
_symmetry_space_group_name_H-M 'P m -3 m'
_symmetry_Int_Tables_number 221
_symmetry_space_group_name_Hall '-P 4 2 3'
loop_
_atom_site_label
_atom_site_type_symbol
_atom_site_fract_x
_atom_site_fract_y
_atom_site_fract_z
_atom_site_occupancy
Sn1 Sn 0.000 0.000 0.000 1
Pt1 Pt 0.000 0.000 0.500 1
Cl1 Cl 0.500 0.500 0.500 1



Record 4
# Tb4NiPt3 | Alexandria via LeMat-Bulk | PBE-GGA | optimized geometry
# Calculated formation energy, eV/f.u.: -8.51
# M_tot, μB per cell: 0.00
data_Tb4NiPt3
_cell_length_a 3.777
_cell_length_b 4.450
_cell_length_c 10.500
_cell_angle_alpha 90.00
_cell_angle_beta 90.00
_cell_angle_gamma 90.00
_symmetry_space_group_name_H-M 'P m m 2'
_symmetry_Int_Tables_number 25
loop_
_symmetry_equiv_pos_as_xyz
'x,y,z'
'-x,-y,z'
'-x,y,z'
'x,-y,z'
loop_
_atom_site_label
_atom_site_type_symbol
_atom_site_fract_x
_atom_site_fract_y
_atom_site_fract_z
_atom_site_occupancy
Tb1 Tb 0.000 0.000 0.000 1
Tb2 Tb 0.000 0.500 0.272 1
Tb3 Tb 0.500 0.000 0.493 1
Tb4 Tb 0.500 0.500 0.775 1
Ni1 Ni 0.500 0.000 0.214 1
Pt1 Pt 0.000 0.000 0.724 1
Pt2 Pt 0.000 0.500 0.545 1
Pt3 Pt 0.500 0.500 0.058 1



Record 5
# ZnPCl | Alexandria via LeMat-Bulk | PBE-GGA | optimized geometry
# Relative energy among the computed polymorphs, eV per formula unit: 2.925
# Formation energy (no corrections), meV/atom: 525
# M_tot, μB per cell: 1.19
data_ZnPCl
_cell_length_a 6.320
_cell_length_b 6.320
_cell_length_c 6.320
_cell_angle_alpha 90.00
_cell_angle_beta 90.00
_cell_angle_gamma 90.00
_symmetry_space_group_name_H-M 'F -4 3 m'
_symmetry_Int_Tables_number 216
_symmetry_space_group_name_Hall 'F -4 2 3'
loop_
_atom_site_label
_atom_site_type_symbol
_atom_site_fract_x
_atom_site_fract_y
_atom_site_fract_z
_atom_site_occupancy
Zn1 Zn 0.000 0.000 0.000 1
P1 P 0.250 0.250 0.250 1
Cl1 Cl 0.000 0.000 0.500 1



Record 6
# TaCuAs2Se | Alexandria via LeMat-Bulk | PBE-GGA | optimized geometry
# Relative energy among the computed polymorphs, eV per formula unit: 1.934
# Formation energy (no corrections), meV/atom: 904
# M_tot, μB per cell: 0.00
data_TaCuAs2Se
_cell_length_a 4.577
_cell_length_b 4.577
_cell_length_c 4.718
_cell_angle_alpha 90.00
_cell_angle_beta 90.00
_cell_angle_gamma 90.00
_symmetry_space_group_name_H-M 'P 4/m m m'
_symmetry_Int_Tables_number 123
_symmetry_space_group_name_Hall '-P 4 2'
loop_
_atom_site_label
_atom_site_type_symbol
_atom_site_fract_x
_atom_site_fract_y
_atom_site_fract_z
_atom_site_occupancy
Ta1 Ta 0.000 0.000 0.000 1
Cu1 Cu 0.500 0.500 0.500 1
As1 As 0.000 0.500 0.500 1
Se1 Se 0.500 0.500 0.000 1



Record 7
# CeClO | Alexandria via LeMat-Bulk | PBE-GGA | optimized geometry
# Formation energy (no corrections), meV/atom: -2827
# M_tot, μB per cell: 4.00
data_CeClO
_cell_length_a 8.244
_cell_length_b 8.244
_cell_length_c 3.919
_cell_angle_alpha 90.00
_cell_angle_beta 90.00
_cell_angle_gamma 90.00
_symmetry_space_group_name_H-M 'P 42/m'
_symmetry_Int_Tables_number 84
loop_
_symmetry_equiv_pos_as_xyz
'x,y,z'
'-x,-y,-z'
'-y,x,z+1/2'
'y,-x,-z+1/2'
'-x,-y,z'
'x,y,-z'
'y,-x,z+1/2'
'-y,x,-z+1/2'
loop_
_atom_site_label
_atom_site_type_symbol
_atom_site_fract_x
_atom_site_fract_y
_atom_site_fract_z
_atom_site_occupancy
Ce1 Ce 0.075 0.724 0.000 1
Cl1 Cl 0.186 0.438 0.500 1
O1 O 0.125 0.843 0.500 1



Record 8
# SmTm2Ni | Alexandria via LeMat-Bulk | PBE-GGA | optimized geometry
# Relative energy among the computed polymorphs, eV per formula unit: 0.000
# Calculated formation energy, eV/f.u.: -0.87
# M_tot, μB per cell: 0.05
data_SmTm2Ni
_cell_length_a 3.616
_cell_length_b 12.071
_cell_length_c 9.406
_cell_angle_alpha 90.00
_cell_angle_beta 90.00
_cell_angle_gamma 90.00
_symmetry_space_group_name_H-M 'C m c m'
_symmetry_Int_Tables_number 63
_symmetry_space_group_name_Hall '-C 2c 2'
loop_
_atom_site_label
_atom_site_type_symbol
_atom_site_fract_x
_atom_site_fract_y
_atom_site_fract_z
_atom_site_occupancy
Sm1 Sm 0.000 0.077 0.250 1
Tm1 Tm 0.000 0.362 0.070 1
Ni1 Ni 0.000 0.236 0.750 1



Record 9
# Hf3ZrS | Alexandria via LeMat-Bulk | PBE-GGA | optimized geometry
# Relative energy among the computed polymorphs, eV per formula unit: 9.265
# Formation energy (no corrections), meV/atom: 1340
# M_tot, μB per cell: 0.00
data_Hf3ZrS
_cell_length_a 5.131
_cell_length_b 5.131
_cell_length_c 5.131
_cell_angle_alpha 90.00
_cell_angle_beta 90.00
_cell_angle_gamma 90.00
_symmetry_space_group_name_H-M 'P m -3 m'
_symmetry_Int_Tables_number 221
_symmetry_space_group_name_Hall '-P 4 2 3'
loop_
_atom_site_label
_atom_site_type_symbol
_atom_site_fract_x
_atom_site_fract_y
_atom_site_fract_z
_atom_site_occupancy
Hf1 Hf 0.000 0.000 0.500 1
Zr1 Zr 0.000 0.000 0.000 1
S1 S 0.500 0.500 0.500 1



Record 10
# LaPm2Sm2Tm2 | Alexandria via LeMat-Bulk | PBE-GGA | optimized geometry
# Calculated formation energy, eV/f.u.: 0.63
# M_tot, μB per cell: 0.00
data_LaPm2Sm2Tm2
_cell_length_a 11.752
_cell_length_b 3.557
_cell_length_c 11.997
_cell_angle_alpha 90.00
_cell_angle_beta 109.52
_cell_angle_gamma 90.00
_symmetry_space_group_name_H-M 'C 1 2/m 1'
_symmetry_Int_Tables_number 12
loop_
_symmetry_equiv_pos_as_xyz
'x,y,z'
'-x,-y,-z'
'-x,y,-z'
'x,-y,z'
'x+1/2,y+1/2,z'
'-x+1/2,-y+1/2,-z'
'-x+1/2,y+1/2,-z'
'x+1/2,-y+1/2,z'
loop_
_atom_site_label
_atom_site_type_symbol
_atom_site_fract_x
_atom_site_fract_y
_atom_site_fract_z
_atom_site_occupancy
La1 La 0.000 0.000 0.000 1
Pm1 Pm 0.052 0.500 0.273 1
Sm1 Sm 0.168 0.500 0.583 1
Tm1 Tm 0.223 0.000 0.862 1



Record 11
# NiHgPt2 | Alexandria via LeMat-Bulk | PBE-GGA | optimized geometry
# Calculated formation energy, eV/f.u.: 0.53
# M_tot, μB per cell: 1.16
data_NiHgPt2
_cell_length_a 2.877
_cell_length_b 4.722
_cell_length_c 9.394
_cell_angle_alpha 90.00
_cell_angle_beta 90.00
_cell_angle_gamma 90.00
_symmetry_space_group_name_H-M 'I m m 2'
_symmetry_Int_Tables_number 44
loop_
_symmetry_equiv_pos_as_xyz
'x,y,z'
'-x,-y,z'
'-x,y,z'
'x,-y,z'
'x+1/2,y+1/2,z+1/2'
'-x+1/2,-y+1/2,z+1/2'
'-x+1/2,y+1/2,z+1/2'
'x+1/2,-y+1/2,z+1/2'
loop_
_atom_site_label
_atom_site_type_symbol
_atom_site_fract_x
_atom_site_fract_y
_atom_site_fract_z
_atom_site_occupancy
Ni1 Ni 0.000 0.000 0.000 1
Hg1 Hg 0.000 0.500 0.256 1
Pt1 Pt 0.000 0.000 0.485 1
Pt2 Pt 0.000 0.500 0.725 1



Record 12
# Ni6Sb2HN | Alexandria via LeMat-Bulk | PBE-GGA | optimized geometry
# M_tot, μB per cell: 0.00
# Electronic total energy, eV/cell: -109.18
data_Ni6Sb2HN
_cell_length_a 7.717
_cell_length_b 7.739
_cell_length_c 5.456
_cell_angle_alpha 90.00
_cell_angle_beta 134.89
_cell_angle_gamma 90.00
_symmetry_space_group_name_H-M 'C 1 2/m 1'
_symmetry_Int_Tables_number 12
loop_
_symmetry_equiv_pos_as_xyz
'x,y,z'
'-x,-y,-z'
'-x,y,-z'
'x,-y,z'
'x+1/2,y+1/2,z'
'-x+1/2,-y+1/2,-z'
'-x+1/2,y+1/2,-z'
'x+1/2,-y+1/2,z'
loop_
_atom_site_label
_atom_site_type_symbol
_atom_site_fract_x
_atom_site_fract_y
_atom_site_fract_z
_atom_site_occupancy
Ni1 Ni 0.000 0.250 0.000 1
Ni2 Ni 0.249 0.000 0.000 1
Ni3 Ni 0.250 0.000 0.500 1
Sb1 Sb 0.000 0.250 0.500 1
H1 H 0.000 0.000 0.000 1
N1 N 0.000 0.500 0.000 1